Record 1
## PrGdDyY (PBE)

Data for PrGdDyY after structural relaxation.

Results
space-group type: F-43m
size of the total moment: 7.829 μB per cell
Fermi-level density of states: 2.08 states/eV/atom
final energy: -7.37 eV/atom

Cell: 5.7387 5.7387 5.7387 Å, 60.00 60.00 60.00°
Last column: nearest neighbours and their distance in Å.
Positions (direct):
Pr1 0.0000 0.0000 0.0000  4 Dy 3.51, 4 Y 3.51
Gd1 0.5000 0.5000 0.5000  4 Dy 3.51, 4 Y 3.51
Dy1 0.2500 0.2500 0.2500  4 Gd 3.51, 4 Pr 3.51
Y1 0.7500 0.7500 0.7500  4 Gd 3.51, 4 Pr 3.51


Record 2
## Gd2DyPt (PBE)

Data for Gd2DyPt after structural relaxation.

Results
excess energy over the best structure of this formula in the dataset: 0 meV/atom
space-group type: P4/mmm
size of the total moment: 14.824 μB per cell
Fermi-level density of states: 1.46 states/eV/atom

Cell: 3.6083 3.6083 8.3912 Å, 90.00 90.00 90.00°
Last column: nearest neighbours and their distance in Å.
Positions (direct):
Gd1 0.0000 0.0000 0.1974  4 Pt 3.04, 1 Gd 3.31
Gd2 0.0000 0.0000 0.8026  4 Pt 3.04, 1 Gd 3.31
Dy1 0.5000 0.5000 0.5000  8 Gd 3.60, 4 Dy 3.61
Pt1 0.5000 0.5000 0.0000  8 Gd 3.04


Record 3
## Gd2DyPt (PBE)

Data for Gd2DyPt after structural relaxation.

Results
excess energy over the best structure of this formula in the dataset: 264 meV/atom
space-group type: R-3m
size of the total moment: 15.244 μB per cell
Fermi-level density of states: 1.18 states/eV/atom

Cell: 10.7436 10.7436 10.7436 Å, 20.07 20.07 20.07°
Last column: nearest neighbours and their distance in Å.
Positions (direct):
Gd1 0.1094 0.1094 0.1094  3 Pt 2.82
Gd2 0.8906 0.8906 0.8906  3 Pt 2.82
Dy1 0.0000 0.0000 0.0000  2 Gd 3.46, 6 Dy 3.74
Pt1 0.5000 0.5000 0.5000  6 Gd 2.82


Record 4
## GdDyPtRh (PBE)

Data for GdDyPtRh after structural relaxation.

Results
space-group type: F-43m
size of the total moment: 7.014 μB per cell
Fermi-level density of states: 0.43 states/eV/atom
final energy: -9.03 eV/atom

Cell: 4.9174 4.9174 4.9174 Å, 60.00 60.00 60.00°
Last column: nearest neighbours and their distance in Å.
Positions (direct):
Gd1 0.0000 0.0000 0.0000  4 Rh 3.01, 4 Pt 3.01
Dy1 0.5000 0.5000 0.5000  4 Rh 3.01, 4 Pt 3.01
Pt1 0.7500 0.7500 0.7500  4 Gd 3.01, 4 Dy 3.01
Rh1 0.2500 0.2500 0.2500  4 Gd 3.01, 4 Dy 3.01


Record 5
## GdDyRuPt (PBE)

Data for GdDyRuPt after structural relaxation.

Results
space-group type: F-43m
size of the total moment: 6.928 μB per cell
Fermi-level density of states: 0.56 states/eV/atom
final energy: -9.25 eV/atom

Cell: 4.8917 4.8917 4.8917 Å, 60.00 60.00 60.00°
Last column: nearest neighbours and their distance in Å.
Positions (direct):
Gd1 0.0000 0.0000 0.0000  4 Ru 3.00, 4 Pt 3.00
Dy1 0.5000 0.5000 0.5000  4 Ru 3.00, 4 Pt 3.00
Ru1 0.7500 0.7500 0.7500  4 Gd 3.00, 4 Dy 3.00
Pt1 0.2500 0.2500 0.2500  4 Gd 3.00, 4 Dy 3.00


Record 6
## GdDyScPt (PBE)

Data for GdDyScPt after structural relaxation.

Results
space-group type: F-43m
size of the total moment: 8.056 μB per cell
Fermi-level density of states: 1.27 states/eV/atom
final energy: -8.14 eV/atom

Cell: 5.1057 5.1057 5.1057 Å, 60.00 60.00 60.00°
Last column: nearest neighbours and their distance in Å.
Positions (direct):
Gd1 0.0000 0.0000 0.0000  4 Sc 3.13, 4 Pt 3.13
Dy1 0.5000 0.5000 0.5000  4 Sc 3.13, 4 Pt 3.13
Sc1 0.7500 0.7500 0.7500  4 Dy 3.13, 4 Gd 3.13
Pt1 0.2500 0.2500 0.2500  4 Dy 3.13, 4 Gd 3.13


Record 7
## GdDyTlPt (PBE)

Data for GdDyTlPt after structural relaxation.

Results
space-group type: F-43m
size of the total moment: 7.119 μB per cell
Fermi-level density of states: 0.86 states/eV/atom
final energy: -7.46 eV/atom

Cell: 5.1758 5.1758 5.1758 Å, 60.00 60.00 60.00°
Last column: nearest neighbours and their distance in Å.
Positions (direct):
Gd1 0.0000 0.0000 0.0000  4 Tl 3.17, 4 Pt 3.17
Dy1 0.5000 0.5000 0.5000  4 Tl 3.17, 4 Pt 3.17
Tl1 0.7500 0.7500 0.7500  4 Gd 3.17, 4 Dy 3.17
Pt1 0.2500 0.2500 0.2500  4 Dy 3.17, 4 Gd 3.17


Record 8
## GdDyZnPt (PBE)

Data for GdDyZnPt after structural relaxation.

Results
space-group type: F-43m
size of the total moment: 7.090 μB per cell
Fermi-level density of states: 0.67 states/eV/atom
final energy: -7.27 eV/atom

Cell: 5.0094 5.0094 5.0094 Å, 60.00 60.00 60.00°
Last column: nearest neighbours and their distance in Å.
Positions (direct):
Gd1 0.0000 0.0000 0.0000  4 Pt 3.07, 4 Zn 3.07
Dy1 0.5000 0.5000 0.5000  4 Pt 3.07, 4 Zn 3.07
Zn1 0.7500 0.7500 0.7500  4 Gd 3.07, 4 Dy 3.07
Pt1 0.2500 0.2500 0.2500  4 Gd 3.07, 4 Dy 3.07


Record 9
## Gd2DyPu (PBE)

Data for Gd2DyPu after structural relaxation.

Results
excess energy over the best structure of this formula in the dataset: 73 meV/atom
space-group type: Fm-3m
size of the total moment: 21.619 μB per cell
Fermi-level density of states: 2.96 states/eV/atom

Cell: 5.6107 5.6107 5.6107 Å, 60.00 60.00 60.00°
Last column: nearest neighbours and their distance in Å.
Positions (direct):
Gd1 0.2500 0.2500 0.2500  4 Dy 3.44, 4 Pu 3.44
Gd2 0.7500 0.7500 0.7500  4 Dy 3.44, 4 Pu 3.44
Dy1 0.0000 0.0000 0.0000  8 Gd 3.44
Pu1 0.5000 0.5000 0.5000  8 Gd 3.44


Record 10
## GdDy2Pu (PBE)

Data for GdDy2Pu after structural relaxation.

Results
excess energy over the best structure of this formula in the dataset: 0 meV/atom
space-group type: P4/mmm
size of the total moment: 13.663 μB per cell
Fermi-level density of states: 2.91 states/eV/atom

Cell: 3.4856 3.4856 10.0408 Å, 90.00 90.00 90.00°
Last column: nearest neighbours and their distance in Å.
Positions (direct):
Gd1 0.0000 0.0000 0.0000  4 Gd 3.49, 8 Dy 3.57
Dy1 0.5000 0.5000 0.2577  4 Pu 3.46, 4 Dy 3.49, 4 Gd 3.57
Dy2 0.5000 0.5000 0.7423  4 Pu 3.46, 4 Dy 3.49, 4 Gd 3.57
Pu1 0.0000 0.0000 0.5000  8 Dy 3.46, 4 Pu 3.49


Record 11
## GdDyPu (PBE)

Data for GdDyPu after structural relaxation.

Results
space-group type: P3m1
size of the total moment: 1.064 μB per cell
Fermi-level density of states: 3.15 states/eV/atom
final energy: -10.88 eV/atom

Cell: 3.5256 3.5256 8.4924 Å, 90.00 90.00 120.00°
Last column: nearest neighbours and their distance in Å.
Positions (direct):
Gd1 0.0000 0.0000 0.0000  3 Pu 3.47, 6 Gd 3.53, 3 Dy 3.54
Dy1 0.6667 0.3333 0.3405  3 Pu 3.46, 6 Dy 3.53, 3 Gd 3.54
Pu1 0.3333 0.6667 0.6698  3 Dy 3.46, 3 Gd 3.47, 6 Pu 3.53


Record 12
## GdDyPu (PBE)

Data for GdDyPu after structural relaxation.

Results
space-group type: I4mm
size of the total moment: 13.405 μB per cell
Fermi-level density of states: 2.44 states/eV/atom
final energy: -10.88 eV/atom

Cell: 7.8495 7.8495 7.8495 Å, 154.21 154.21 36.79°
Last column: nearest neighbours and their distance in Å.
Positions (direct):
Gd1 0.0000 0.0000 0.0000  4 Pu 3.48, 4 Gd 3.50, 4 Dy 3.59
Dy1 0.6743 0.6743 0.0000  4 Pu 3.46, 4 Dy 3.50, 4 Gd 3.59
Pu1 0.3362 0.3362 0.0000  4 Dy 3.46, 4 Gd 3.48, 4 Pu 3.50


Record 13
## GdDy2Pu (PBE)

Data for GdDy2Pu after structural relaxation.

Results
excess energy over the best structure of this formula in the dataset: 29 meV/atom
space-group type: P4/mmm
size of the total moment: 1.089 μB per cell
Fermi-level density of states: 4.06 states/eV/atom

Cell: 4.9657 4.9657 4.9454 Å, 90.00 90.00 90.00°
Last column: nearest neighbours and their distance in Å.
Positions (direct):
Gd1 0.0000 0.0000 0.0000  8 Dy 3.50, 4 Pu 3.51
Dy1 0.0000 0.5000 0.5000  4 Gd 3.50, 4 Pu 3.50, 4 Dy 3.51
Dy2 0.5000 0.0000 0.5000  4 Gd 3.50, 4 Pu 3.50, 4 Dy 3.51
Pu1 0.5000 0.5000 0.0000  8 Dy 3.50, 4 Gd 3.51


Record 14
## Gd2DyPu (PBE)

Data for Gd2DyPu after structural relaxation.

Results
excess energy over the best structure of this formula in the dataset: 0 meV/atom
space-group type: P4/mmm
size of the total moment: 20.822 μB per cell
Fermi-level density of states: 2.39 states/eV/atom

Cell: 3.5295 3.5295 10.0002 Å, 90.00 90.00 90.00°
Last column: nearest neighbours and their distance in Å.
Positions (direct):
Gd1 0.0000 0.0000 0.2452  4 Pu 3.50, 4 Gd 3.53, 4 Dy 3.57
Gd2 0.0000 0.0000 0.7548  4 Pu 3.50, 4 Gd 3.53, 4 Dy 3.57
Dy1 0.5000 0.5000 0.5000  4 Dy 3.53, 8 Gd 3.57
Pu1 0.5000 0.5000 0.0000  8 Gd 3.50, 4 Pu 3.53


Record 15
## GdDy2Pu (PBE)

Data for GdDy2Pu after structural relaxation.

Results
excess energy over the best structure of this formula in the dataset: 78 meV/atom
space-group type: Fm-3m
size of the total moment: 14.190 μB per cell
Fermi-level density of states: 2.57 states/eV/atom

Cell: 5.5867 5.5867 5.5867 Å, 60.00 60.00 60.00°
Last column: nearest neighbours and their distance in Å.
Positions (direct):
Gd1 0.0000 0.0000 0.0000  8 Dy 3.42
Dy1 0.2500 0.2500 0.2500  4 Pu 3.42, 4 Gd 3.42
Dy2 0.7500 0.7500 0.7500  4 Pu 3.42, 4 Gd 3.42
Pu1 0.5000 0.5000 0.5000  8 Dy 3.42